a) VASP calculation (PBE) on a geometry-optimized ZnCo2Ge structure.

Cell and atoms, written as POSCAR:
```
ZnCo2Ge
1.0
-1.468 1.269 -2.131
-0.915 -2.578 -0.906
-4.603 0.430 3.427
Co Ge Zn
2 1 1
direct
0.500 0.500 0.266
0.500 0.500 0.734
0.000 0.000 0.500
0.000 0.000 0.000
```

Volume   11.947 Å³/atom

b) VASP calculation (PBE) on a geometry-optimized ZnCo2Ge structure.

Cell and atoms, written as POSCAR:
```
ZnCo2Ge
1.0
4.060 0.000 0.000
0.000 5.744 0.000
0.000 0.000 12.183
Co Ge Zn
12 6 6
direct
0.500 0.250 0.000
0.500 0.750 0.000
0.000 0.250 0.167
0.000 0.750 0.167
0.500 0.250 0.333
0.500 0.750 0.333
0.000 0.250 0.500
0.000 0.750 0.500
0.500 0.250 0.667
0.500 0.750 0.667
0.000 0.250 0.833
0.000 0.750 0.833
0.000 0.000 0.000
0.500 0.500 0.167
0.000 0.000 0.333
0.500 0.500 0.500
0.000 0.000 0.667
0.500 0.500 0.833
0.000 0.500 0.000
0.500 0.000 0.167
0.000 0.500 0.333
0.500 0.000 0.500
0.000 0.500 0.667
0.500 0.000 0.833
```

Volume   11.838 Å³/atom

Result of the stability comparison: a) is the least stable of them.

a) VASP calculation (PBE) on a geometry-optimized ZnCo2Ge structure.

Cell and atoms, written as POSCAR:
```
ZnCo2Ge
1.0
2.074 -3.592 0.000
2.074 3.592 0.000
0.000 0.000 7.253
Co Ge Zn
4 2 2
direct
0.333 0.667 0.090
0.333 0.667 0.410
0.667 0.333 0.590
0.667 0.333 0.910
0.000 0.000 0.250
0.000 0.000 0.750
0.667 0.333 0.250
0.333 0.667 0.750
```

Volume   13.507 Å³/atom

b) VASP calculation (PBE) on a geometry-optimized ZnCo2Ge structure.

Cell and atoms, written as POSCAR:
```
ZnCo2Ge
1.0
1.996 -3.458 0.000
1.996 3.458 0.000
0.000 0.000 7.499
Co Ge Zn
4 2 2
direct
0.667 0.333 0.087
0.667 0.333 0.413
0.333 0.667 0.587
0.333 0.667 0.913
0.000 0.000 0.000
0.000 0.000 0.500
0.333 0.667 0.250
0.667 0.333 0.750
```

Volume   12.942 Å³/atom

c) VASP calculation (PBE) on a geometry-optimized ZnCo2Ge structure.

Cell and atoms, written as POSCAR:
```
ZnCo2Ge
1.0
-0.367 -4.026 -0.700
-3.383 -1.469 -1.797
0.176 -1.439 -3.838
Co Ge Zn
2 1 1
direct
0.500 0.500 0.500
0.750 0.750 0.750
0.000 0.000 0.000
0.250 0.250 0.250
```

Volume   12.205 Å³/atom

d) VASP calculation (PBE) on a geometry-optimized ZnCo2Ge structure.

Cell and atoms, written as POSCAR:
```
ZnCo2Ge
1.0
2.252 0.964 3.280
-2.672 -3.096 0.190
5.104 -4.540 -2.171
Co Ge Zn
4 2 2
direct
0.667 0.333 0.088
0.667 0.333 0.412
0.333 0.667 0.588
0.333 0.667 0.912
0.333 0.667 0.250
0.667 0.333 0.750
0.000 0.000 0.000
0.000 0.000 0.500
```

Volume   13.005 Å³/atom

Result of the stability comparison: a) is the least stable of them.

a) VASP calculation (PBE) on a geometry-optimized HfCoSiHg structure.

Cell and atoms, written as POSCAR:
```
HfCoSiHg
1.0
-2.752 -2.922 -2.142
-3.255 -2.175 2.317
-4.371 1.068 -0.672
Co Hf Hg Si
1 1 1 1
direct
0.750 0.750 0.750
0.500 0.500 0.500
0.250 0.250 0.250
0.000 0.000 0.000
```

Volume   16.643 Å³/atom

b) VASP calculation (PBE) on a geometry-optimized HfCoSiHg structure.

Cell and atoms, written as POSCAR:
```
HfCoSiHg
1.0
0.000 3.203 3.203
3.203 0.000 3.203
3.203 3.203 0.000
Co Hf Hg Si
1 1 1 1
direct
0.750 0.750 0.750
0.250 0.250 0.250
0.500 0.500 0.500
0.000 0.000 0.000
```

Volume   16.430 Å³/atom

Result of the stability comparison: a) is the least stable of them.